DFT (PBE) results for an optimized crystal structure of CaPH6CI3.

Structure (POSCAR):
```
CaPH6CI3
1.0
4.765 0.000 0.000
0.000 12.023 -0.005
0.000 -0.019 20.157
I P Ca C H
12 4 4 4 24
direct
0.750 0.326 0.990
0.250 0.721 0.974
0.750 0.790 0.467
0.250 0.187 0.484
0.250 0.041 0.068
0.750 0.010 0.891
0.250 0.502 0.387
0.750 0.476 0.566
0.250 0.283 0.791
0.750 0.766 0.165
0.250 0.759 0.658
0.750 0.237 0.289
0.750 0.999 0.614
0.250 0.984 0.246
0.750 0.517 0.747
0.250 0.517 0.105
0.250 0.180 0.930
0.750 0.874 0.025
0.250 0.643 0.519
0.750 0.336 0.428
0.750 0.026 0.702
0.250 0.940 0.331
0.750 0.548 0.834
0.250 0.425 0.175
0.937 0.988 0.724
0.750 0.116 0.711
0.563 0.988 0.724
0.983 0.049 0.583
0.750 0.884 0.599
0.517 0.049 0.583
0.437 0.889 0.341
0.250 0.013 0.363
0.063 0.889 0.341
0.485 0.053 0.235
0.250 0.893 0.202
0.015 0.053 0.235
0.937 0.511 0.856
0.750 0.639 0.841
0.563 0.511 0.856
0.984 0.568 0.716
0.750 0.402 0.735
0.516 0.568 0.716
0.437 0.372 0.175
0.250 0.475 0.221
0.063 0.372 0.175
0.485 0.588 0.108
0.250 0.457 0.045
0.015 0.588 0.108
```

Summary:
Total magnetization (μB/f.u.): 0.0
Crystal system: monoclinic
Relative energy among the computed polymorphs (eV/atom): 0.011
E_tot (Ry per atom): -0.293

DFT (PBE) results for an optimized crystal structure of CaRe2H6CN2O10.

Structure (POSCAR):
```
CaRe2H6CN2O10
1.0
-0.017 -2.885 6.785
-4.604 -6.081 -5.298
9.613 -0.862 -0.632
Ca Re H C N O
2 4 12 2 4 20
direct
0.419 0.790 0.524
0.581 0.210 0.476
0.169 0.388 0.632
0.831 0.612 0.368
0.276 0.312 0.166
0.724 0.688 0.834
0.156 0.711 0.016
0.844 0.289 0.984
0.373 0.716 0.095
0.627 0.284 0.905
0.975 0.870 0.181
0.025 0.130 0.819
0.088 0.007 0.366
0.912 0.993 0.634
0.170 0.849 0.776
0.830 0.151 0.224
0.316 0.025 0.822
0.684 0.975 0.178
0.243 0.864 0.246
0.757 0.136 0.754
0.258 0.757 0.108
0.742 0.243 0.892
0.083 0.909 0.267
0.917 0.091 0.733
0.281 0.537 0.569
0.719 0.463 0.431
0.263 0.221 0.556
0.737 0.779 0.444
0.924 0.319 0.567
0.076 0.681 0.433
0.208 0.472 0.831
0.792 0.528 0.169
0.377 0.527 0.259
0.623 0.473 0.741
0.369 0.220 0.266
0.631 0.780 0.734
0.027 0.260 0.158
0.973 0.740 0.842
0.327 0.237 0.979
0.673 0.763 0.021
0.272 0.913 0.741
0.728 0.087 0.259
0.379 0.922 0.358
0.621 0.078 0.642
```

Summary:
Total magnetization (μB/f.u.): 0.1
Crystal system: triclinic
E_tot (Ry per atom): -0.508

DFT (PBE) results for an optimized crystal structure of Na2CaH4C2O8.

Structure (POSCAR):
```
Na2CaH4C2O8
1.0
-2.662 6.722 9.092
-0.196 0.859 10.502
3.320 5.584 0.490
Na Ca H C O
4 2 8 4 16
direct
0.557 0.708 0.816
0.919 0.816 0.708
0.434 0.331 0.693
0.542 0.693 0.331
0.249 0.251 0.251
0.999 0.001 0.001
0.312 0.644 0.412
0.632 0.412 0.644
0.838 0.618 0.938
0.606 0.938 0.618
0.088 0.936 0.467
0.509 0.467 0.936
0.783 0.741 0.162
0.314 0.162 0.741
0.455 0.319 0.203
0.023 0.203 0.319
0.047 0.227 0.795
0.931 0.795 0.227
0.497 0.233 0.010
0.260 0.010 0.233
0.240 0.990 0.753
0.017 0.753 0.990
0.319 0.374 0.429
0.878 0.429 0.374
0.821 0.372 0.931
0.876 0.931 0.372
0.548 0.352 0.170
0.931 0.170 0.352
0.080 0.319 0.702
0.898 0.702 0.319
0.429 0.085 0.785
0.701 0.785 0.085
0.465 0.549 0.821
0.165 0.821 0.549
```

Summary:
Total magnetization (μB/f.u.): 0.0
Crystal system: orthorhombic
E_tot (Ry per atom): -0.451

DFT (PBE) results for an optimized crystal structure of Na2CaH10C2O11.

Structure (POSCAR):
```
Na2CaH10C2O11
1.0
7.707 0.000 0.000
3.854 7.299 -0.004
3.853 0.427 8.948
Na Ca H C O
4 2 20 4 22
direct
0.895 0.311 0.514
0.721 0.189 0.986
0.105 0.689 0.486
0.279 0.811 0.014
0.808 0.750 0.250
0.192 0.250 0.750
0.762 0.397 0.249
0.408 0.103 0.251
0.238 0.603 0.751
0.592 0.897 0.749
0.782 0.485 0.081
0.349 0.015 0.419
0.727 0.814 0.953
0.494 0.686 0.547
0.273 0.186 0.047
0.506 0.314 0.453
0.914 0.866 0.927
0.651 0.985 0.581
0.086 0.134 0.073
0.293 0.366 0.427
0.475 0.649 0.229
0.353 0.851 0.271
0.525 0.351 0.771
0.647 0.149 0.729
0.218 0.515 0.919
0.707 0.634 0.573
0.213 0.439 0.183
0.164 0.939 0.683
0.836 0.061 0.317
0.787 0.561 0.817
0.110 0.464 0.325
0.219 0.134 0.999
0.648 0.634 0.499
0.781 0.866 0.001
0.556 0.016 0.687
0.260 0.484 0.813
0.444 0.984 0.313
0.740 0.516 0.187
0.352 0.366 0.501
0.899 0.036 0.175
0.890 0.536 0.675
0.101 0.964 0.825
0.363 0.282 0.135
0.780 0.218 0.365
0.637 0.718 0.865
0.220 0.782 0.635
0.825 0.923 0.411
0.332 0.750 0.250
0.841 0.423 0.911
0.159 0.577 0.089
0.668 0.250 0.750
0.175 0.077 0.589
```

Summary:
Total magnetization (μB/f.u.): 0.0
Crystal system: monoclinic
E_tot (Ry per atom): -0.421

DFT (PBE) results for an optimized crystal structure of CaH2CO.

Structure (POSCAR):
```
CaH2CO
1.0
-0.725 1.037 3.772
-0.709 -4.260 1.035
3.860 -0.433 0.861
H Ca C O
2 1 1 1
direct
0.000 0.000 0.500
0.500 0.000 0.000
0.000 0.000 0.000
0.500 0.500 0.500
0.000 0.500 0.000
```

Summary:
Total magnetization (μB/f.u.): 0.0
Crystal system: tetragonal
E_tot (Ry per atom): -0.237

DFT (PBE) results for an optimized crystal structure of CaH6C2O7.

Structure (POSCAR):
```
CaH6C2O7
1.0
7.227 -0.029 0.001
2.239 5.858 -0.059
2.228 2.206 7.852
C Ca H O
4 2 12 14
direct
0.399 0.059 0.053
0.601 0.941 0.947
0.576 0.417 0.445
0.424 0.583 0.555
0.729 0.893 0.308
0.271 0.107 0.692
0.989 0.270 0.419
0.011 0.730 0.581
0.220 0.164 0.337
0.780 0.836 0.663
0.127 0.536 0.301
0.873 0.464 0.699
0.006 0.191 0.089
0.994 0.809 0.911
0.813 0.345 0.189
0.187 0.655 0.811
0.140 0.703 0.114
0.860 0.297 0.886
0.411 0.063 0.199
0.589 0.937 0.801
0.755 0.861 0.016
0.245 0.139 0.984
0.726 0.486 0.353
0.274 0.514 0.647
0.542 0.229 0.455
0.458 0.771 0.545
0.858 0.224 0.124
0.142 0.776 0.876
0.871 0.761 0.571
0.129 0.239 0.429
0.909 0.297 0.766
0.091 0.703 0.234
```

Summary:
Total magnetization (μB/f.u.): 0.0
Crystal system: triclinic
E_tot (Ry per atom): -0.449

DFT (PBE) results for an optimized crystal structure of CaH2CO4.

Structure (POSCAR):
```
CaH2CO4
1.0
-2.505 4.970 -2.615
-1.878 -5.618 -1.650
-5.331 0.181 5.452
Ca H C O
3 6 3 12
direct
0.716 0.726 0.663
0.274 0.991 0.996
0.009 0.284 0.330
0.553 0.442 0.239
0.558 0.111 0.572
0.889 0.447 0.905
0.461 0.919 0.414
0.081 0.542 0.748
0.458 0.539 0.081
0.251 0.275 0.707
0.725 0.976 0.040
0.024 0.749 0.373
0.817 0.538 0.404
0.462 0.279 0.737
0.721 0.183 0.070
0.197 0.746 0.275
0.254 0.451 0.608
0.549 0.803 0.942
0.403 0.396 0.165
0.604 0.007 0.498
0.993 0.597 0.832
0.891 0.941 0.116
0.059 0.950 0.449
0.050 0.109 0.782
```

Summary:
Total magnetization (μB/f.u.): 0.0
Crystal system: trigonal
Relative energy among the computed polymorphs (eV/atom): 0.002
E_tot (Ry per atom): -0.479

DFT (PBE) results for an optimized crystal structure of CaH2CO4.

Structure (POSCAR):
```
CaH2CO4
1.0
-4.408 -6.116 1.275
-1.745 -0.922 -10.454
8.247 -5.011 4.479
C Ca H O
9 9 18 36
direct
0.048 0.906 0.082
0.715 0.176 0.094
0.381 0.918 0.824
0.953 0.250 0.761
0.619 0.511 0.750
0.286 0.239 0.489
0.035 0.567 0.410
0.702 0.843 0.433
0.369 0.590 0.157
0.676 0.814 0.915
0.343 0.100 0.186
0.009 0.085 0.900
0.652 0.148 0.572
0.319 0.425 0.852
0.985 0.428 0.575
0.664 0.481 0.239
0.331 0.758 0.519
0.998 0.761 0.242
0.079 0.668 0.880
0.746 0.212 0.332
0.412 0.120 0.788
0.088 0.001 0.553
0.754 0.552 0.999
0.421 0.447 0.448
0.087 0.330 0.203
0.753 0.873 0.670
0.420 0.797 0.127
0.235 0.664 0.781
0.902 0.117 0.336
0.569 0.219 0.883
0.245 0.998 0.456
0.912 0.458 0.002
0.579 0.544 0.542
0.244 0.336 0.110
0.911 0.774 0.664
0.577 0.890 0.226
0.158 0.600 0.800
0.825 0.200 0.400
0.492 0.200 0.800
0.165 0.934 0.472
0.832 0.538 0.066
0.499 0.528 0.462
0.170 0.267 0.125
0.837 0.858 0.733
0.504 0.875 0.142
0.948 0.790 0.025
0.614 0.235 0.210
0.281 0.975 0.765
0.076 0.974 0.222
0.743 0.248 0.026
0.409 0.778 0.752
0.926 0.110 0.692
0.592 0.582 0.890
0.259 0.308 0.418
0.055 0.308 0.875
0.722 0.567 0.692
0.388 0.125 0.433
0.935 0.453 0.353
0.601 0.900 0.547
0.268 0.647 0.100
0.065 0.635 0.550
0.732 0.915 0.365
0.399 0.450 0.085
0.127 0.947 0.002
0.793 0.056 0.053
0.460 0.998 0.944
0.871 0.329 0.720
0.537 0.391 0.671
0.204 0.280 0.609
0.114 0.611 0.332
0.781 0.721 0.389
0.447 0.668 0.279
```

Summary:
Total magnetization (μB/f.u.): 0.0
Crystal system: trigonal
Relative energy among the computed polymorphs (eV/atom): 0.000
E_tot (Ry per atom): -0.479

DFT (PBE) results for an optimized crystal structure of CaH2CO4.

Structure (POSCAR):
```
CaH2CO4
1.0
3.813 0.000 0.000
1.906 4.169 0.054
1.906 0.396 4.150
Ca H C O
1 2 1 4
direct
0.000 0.000 0.000
0.144 0.356 0.356
0.856 0.644 0.644
0.500 0.500 0.500
0.409 0.232 0.496
0.137 0.768 0.504
0.863 0.496 0.232
0.591 0.504 0.768
```

Summary:
Total magnetization (μB/f.u.): 0.0
Crystal system: orthorhombic
Relative energy among the computed polymorphs (eV/atom): 0.285
E_tot (Ry per atom): -0.458

DFT (PBE) results for an optimized crystal structure of CaTe2HC.

Structure (POSCAR):
```
CaTe2HC
1.0
-2.075 4.224 3.752
-4.527 -0.534 -1.902
-1.221 -4.238 4.096
H Ca Te C
1 1 2 1
direct
0.500 0.500 0.500
0.000 0.000 0.000
0.000 0.000 0.500
0.500 0.000 0.000
0.000 0.500 0.000
```

Summary:
Total magnetization (μB/f.u.): 1.3
Crystal system: tetragonal
E_tot (Ry per atom): -0.192

DFT (PBE) results for an optimized crystal structure of CaHf3C.

Structure (POSCAR):
```
CaHf3C
1.0
-4.066 -2.553 1.260
2.716 -4.137 0.382
0.854 1.002 4.786
Ca Hf C
1 3 1
direct
0.000 0.000 0.000
0.000 0.500 0.000
0.000 0.000 0.500
0.500 0.000 0.000
0.500 0.500 0.500
```

Summary:
Total magnetization (μB/f.u.): 0.0
Crystal system: cubic
Relative energy among the computed polymorphs (eV/atom): 3.065
E_tot (Ry per atom): -0.377

DFT (PBE) results for an optimized crystal structure of CaHfC2.

Structure (POSCAR):
```
CaHfC2
1.0
6.127 0.000 0.000
0.000 6.127 0.000
3.064 3.064 3.503
Ca Hf C
2 2 4
direct
0.500 0.500 0.000
0.250 0.750 0.500
0.000 0.000 0.000
0.750 0.250 0.500
0.670 0.125 0.250
0.080 0.625 0.250
0.375 0.330 0.750
0.875 0.920 0.750
```

Summary:
Total magnetization (μB/f.u.): 0.0
Crystal system: tetragonal
Relative energy among the computed polymorphs (eV/atom): 0.000
E_tot (Ry per atom): -0.527